Crystalline AcCdAg at its relaxed geometry. Source: Alexandria via LeMat-Bulk, functional PBE.

- Fermi-level density of states (states/eV/cell) = 3.41
- calculated total energy (eV/atom) = -2.80

a = 5.128 Å, b = 5.128 Å, c = 5.128 Å
α = 60.00°, β = 60.00°, γ = 60.00°
Element x y z (fractional)
Ac: 0.000 0.000 0.000
Cd: 0.500 0.500 0.500
Ag: 0.750 0.750 0.750



Crystalline Re2Se at its relaxed geometry. Source: Alexandria via LeMat-Bulk, functional PBE.

- Fermi-level density of states (states/eV/cell) = 3.21
- formation energy without anion corrections (eV per atom) = 0.071

a = 8.803 Å, b = 8.803 Å, c = 4.384 Å
α = 90.00°, β = 90.00°, γ = 160.92°
Element x y z (fractional)
Re: 0.043 0.957 0.750
Re: 0.413 0.587 0.750
Re: 0.587 0.413 0.250
Re: 0.957 0.043 0.250
Se: 0.330 0.670 0.250
Se: 0.670 0.330 0.750



Crystalline TmPaCdOs at its relaxed geometry. Source: Alexandria via LeMat-Bulk, functional PBE.

- Fermi-level density of states (states/eV/cell) = 4.97
- calculated total energy (eV/atom) = -6.56

a = 5.009 Å, b = 5.009 Å, c = 5.009 Å
α = 60.00°, β = 60.00°, γ = 60.00°
Element x y z (fractional)
Tm: 0.000 0.000 0.000
Pa: 0.500 0.500 0.500
Cd: 0.250 0.250 0.250
Os: 0.750 0.750 0.750



Crystalline Li3Ag6Ge at its relaxed geometry. Source: Alexandria via LeMat-Bulk, functional PBE.

- Fermi-level density of states (states/eV/cell) = 7.22
- calculated total energy (eV/atom) = -2.81

a = 8.378 Å, b = 8.378 Å, c = 5.209 Å
α = 90.00°, β = 90.00°, γ = 103.33°
Element x y z (fractional)
Li: 0.134 0.866 0.500
Li: 0.211 0.401 0.148
Li: 0.401 0.211 0.648
Li: 0.599 0.789 0.148
Li: 0.789 0.599 0.648
Li: 0.866 0.134 0.000
Ag: 0.069 0.487 0.687
Ag: 0.084 0.181 0.507
Ag: 0.181 0.084 0.007
Ag: 0.248 0.752 0.001
Ag: 0.464 0.536 0.830
Ag: 0.487 0.069 0.187
Ag: 0.513 0.931 0.687
Ag: 0.536 0.464 0.330
Ag: 0.752 0.248 0.501
Ag: 0.819 0.916 0.507
Ag: 0.916 0.819 0.007
Ag: 0.931 0.513 0.187
Ge: 0.335 0.665 0.458
Ge: 0.665 0.335 0.958



Crystalline LiScPt at its relaxed geometry. Source: Alexandria via LeMat-Bulk, functional PBE.

- Fermi-level density of states (states/eV/cell) = 3.66
- calculated total energy (eV/atom) = -5.52

a = 4.857 Å, b = 4.862 Å, c = 5.285 Å
α = 101.86°, β = 102.10°, γ = 117.67°
Element x y z (fractional)
Li: 0.028 0.470 0.249
Li: 0.972 0.530 0.751
Sc: 0.370 0.130 0.250
Sc: 0.630 0.870 0.750
Pt: 0.296 0.205 0.750
Pt: 0.704 0.795 0.250



Q: What is the Fermi-level density of states in the third record?
A: 4.97 states/eV/cell